CoMo2Ir | meta-GGA SCAN | PBEsol geometry

```
CoMo2Ir
1.0
2.695 0.000 0.000
0.000 4.310 0.000
0.000 0.000 4.692
Co Mo Ir
1 2 1
Direct
0.500 0.000 0.553
0.000 0.500 0.695
0.000 0.000 0.042
0.500 0.500 0.209
```

Values from the calculation:
total magnetization = 0.12 μB/f.u.
space group = No. 25
energy relative to the elements = -0.086 eV per atom